[1]
Ba2GeO4, relaxed, DFT PBEsol; total magnetization = 0.00 μB per cell; uncorrected formation energy = -234 kJ per mole of atoms; calculated density = 5.0 g/cm³
1.0
5.593 0.000 0.000
0.000 7.776 0.000
0.000 0.000 12.658
O Ge Ba
16 4 8
Direct
0.811 0.750 0.531
0.308 0.433 0.165
0.749 0.250 0.094
0.249 0.750 0.406
0.689 0.750 0.031
0.808 0.567 0.335
0.808 0.933 0.335
0.308 0.067 0.165
0.192 0.067 0.665
0.311 0.250 0.969
0.189 0.250 0.469
0.251 0.750 0.906
0.192 0.433 0.665
0.751 0.250 0.594
0.692 0.933 0.835
0.692 0.567 0.835
0.566 0.750 0.900
0.434 0.250 0.100
0.066 0.250 0.600
0.934 0.750 0.400
0.514 0.250 0.784
0.986 0.250 0.284
0.000 0.500 0.000
0.014 0.750 0.716
0.486 0.750 0.216
0.500 0.000 0.500
0.500 0.500 0.500
0.000 0.000 0.000

[2]
Ba3GeO5, relaxed, DFT PBEsol; energy above the most stable polymorph in this dataset = 0.000 eV/atom; total magnetization = 0.00 μB per cell; uncorrected formation energy = -241 kJ per mole of atoms; calculated density = 6.0 g/cm³
1.0
-3.381 5.990 2.494
-5.827 -4.040 1.804
4.550 -1.839 10.584
O Ge Ba
20 4 12
Direct
0.654 0.613 0.407
0.846 0.887 0.593
0.154 0.887 0.093
0.000 0.500 0.724
0.000 0.500 0.224
0.613 0.346 0.593
0.113 0.846 0.407
0.387 0.654 0.593
0.346 0.387 0.407
0.113 0.154 0.907
0.887 0.154 0.407
0.500 0.000 0.276
0.387 0.346 0.093
0.500 0.000 0.776
0.346 0.613 0.907
0.654 0.387 0.907
0.846 0.113 0.093
0.613 0.654 0.093
0.154 0.113 0.593
0.887 0.846 0.907
0.500 0.500 0.500
0.000 0.000 0.500
0.000 0.000 0.000
0.500 0.500 0.000
0.500 0.000 0.501
0.000 0.500 0.499
0.317 0.683 0.250
0.817 0.183 0.750
0.183 0.817 0.750
0.317 0.317 0.750
0.000 0.500 0.999
0.500 0.000 0.001
0.817 0.817 0.250
0.183 0.183 0.250
0.683 0.683 0.750
0.683 0.317 0.250

[3]
Ba2ZnGe2O7, relaxed, DFT PBEsol; total magnetization = 0.00 μB per cell; uncorrected formation energy = -211 kJ per mole of atoms; calculated density = 5.1 g/cm³
1.0
5.558 0.000 0.000
0.000 8.360 0.000
0.000 0.000 8.360
O Ge Ba Zn
14 4 4 2
Direct
0.273 0.138 0.638
0.188 0.420 0.317
0.161 0.500 0.000
0.188 0.580 0.683
0.812 0.080 0.817
0.812 0.683 0.420
0.812 0.920 0.183
0.188 0.183 0.080
0.727 0.638 0.862
0.812 0.317 0.580
0.839 0.000 0.500
0.727 0.362 0.138
0.188 0.817 0.920
0.273 0.862 0.362
0.962 0.859 0.359
0.038 0.359 0.141
0.038 0.641 0.859
0.962 0.141 0.641
0.492 0.165 0.335
0.508 0.665 0.165
0.492 0.835 0.665
0.508 0.335 0.835
0.000 0.500 0.500
0.000 0.000 0.000

[4]
BaGe3Os, relaxed, DFT PBEsol; formation enthalpy at 0 K = 27 kJ/mol of formula units; total magnetization = 0.00 μB per cell; calculated density = 7.8 g/cm³
1.0
4.876 0.000 0.000
0.000 4.876 0.000
0.000 0.000 4.876
Ge Os Ba
3 1 1
Direct
0.000 0.000 0.500
0.500 0.000 0.000
0.000 0.500 0.000
0.000 0.000 0.000
0.500 0.500 0.500

Which value of total magnetization does entry 2 give?
0.00 μB per cell

Look up the calculated density of the fourth one.
7.8 g/cm³

Look up the total magnetization of the fourth one.
0.00 μB per cell

Among the records above, which one has the lowest calculated density?
Ba2GeO4